[1]
# LiY (SCAN, PBEsol geometry)
data_LiY
_cell_length_a 3.793
_cell_length_b 3.793
_cell_length_c 16.042
_cell_angle_alpha 90.00
_cell_angle_beta 90.00
_cell_angle_gamma 120.00
_symmetry_space_group_name_H-M 'P 1'
_symmetry_Int_Tables_number 1
loop_
_symmetry_equiv_pos_as_xyz
'x,y,z'
loop_
_atom_site_label
_atom_site_type_symbol
_atom_site_fract_x
_atom_site_fract_y
_atom_site_fract_z
_atom_site_occupancy
Li1 Li 0.000 0.000 0.250 1
Li2 Li 0.000 0.000 0.750 1
Li3 Li 0.333 0.667 0.250 1
Li4 Li 0.667 0.333 0.750 1
Y1 Y 0.333 0.667 0.587 1
Y2 Y 0.333 0.667 0.913 1
Y3 Y 0.667 0.333 0.087 1
Y4 Y 0.667 0.333 0.413 1
# Crystal system: hexagonal
# Energy above the lowest structure with this stoichiometry (meV per atom): 174.4

---

[2]
# LiY7 (SCAN, PBEsol geometry)
data_LiY7
_cell_length_a 6.943
_cell_length_b 6.943
_cell_length_c 6.943
_cell_angle_alpha 60.00
_cell_angle_beta 60.00
_cell_angle_gamma 60.00
_symmetry_space_group_name_H-M 'P 1'
_symmetry_Int_Tables_number 1
loop_
_symmetry_equiv_pos_as_xyz
'x,y,z'
loop_
_atom_site_label
_atom_site_type_symbol
_atom_site_fract_x
_atom_site_fract_y
_atom_site_fract_z
_atom_site_occupancy
Li1 Li 0.000 0.000 0.000 1
Y1 Y 0.000 0.000 0.500 1
Y2 Y 0.000 0.500 0.000 1
Y3 Y 0.000 0.500 0.500 1
Y4 Y 0.500 0.000 0.000 1
Y5 Y 0.500 0.000 0.500 1
Y6 Y 0.500 0.500 0.000 1
Y7 Y 0.500 0.500 0.500 1
# Crystal system: cubic

---

[3]
# LiY5 (SCAN, PBEsol geometry)
data_LiY5
_cell_length_a 3.549
_cell_length_b 3.549
_cell_length_c 13.692
_cell_angle_alpha 90.00
_cell_angle_beta 90.00
_cell_angle_gamma 90.00
_symmetry_space_group_name_H-M 'P 1'
_symmetry_Int_Tables_number 1
loop_
_symmetry_equiv_pos_as_xyz
'x,y,z'
loop_
_atom_site_label
_atom_site_type_symbol
_atom_site_fract_x
_atom_site_fract_y
_atom_site_fract_z
_atom_site_occupancy
Li1 Li 0.000 0.000 0.000 1
Y1 Y 0.000 0.000 0.320 1
Y2 Y 0.000 0.000 0.680 1
Y3 Y 0.500 0.500 0.143 1
Y4 Y 0.500 0.500 0.500 1
Y5 Y 0.500 0.500 0.857 1
# Crystal system: tetragonal
# Energy above the lowest structure with this stoichiometry (meV per atom): 1.6

---

[4]
# LiY (SCAN, PBEsol geometry)
data_LiY
_cell_length_a 10.715
_cell_length_b 10.715
_cell_length_c 10.715
_cell_angle_alpha 18.38
_cell_angle_beta 18.38
_cell_angle_gamma 18.38
_symmetry_space_group_name_H-M 'P 1'
_symmetry_Int_Tables_number 1
loop_
_symmetry_equiv_pos_as_xyz
'x,y,z'
loop_
_atom_site_label
_atom_site_type_symbol
_atom_site_fract_x
_atom_site_fract_y
_atom_site_fract_z
_atom_site_occupancy
Li1 Li 0.130 0.130 0.130 1
Li2 Li 0.870 0.870 0.870 1
Y1 Y 0.378 0.378 0.378 1
Y2 Y 0.622 0.622 0.622 1
# Crystal system: trigonal
# Energy above the lowest structure with this stoichiometry (meV per atom): 36.0

---

[5]
# LiY3 (SCAN, PBEsol geometry)
data_LiY3
_cell_length_a 3.577
_cell_length_b 3.577
_cell_length_c 8.693
_cell_angle_alpha 90.00
_cell_angle_beta 90.00
_cell_angle_gamma 90.00
_symmetry_space_group_name_H-M 'P 1'
_symmetry_Int_Tables_number 1
loop_
_symmetry_equiv_pos_as_xyz
'x,y,z'
loop_
_atom_site_label
_atom_site_type_symbol
_atom_site_fract_x
_atom_site_fract_y
_atom_site_fract_z
_atom_site_occupancy
Li1 Li 0.000 0.000 0.000 1
Y1 Y 0.000 0.000 0.500 1
Y2 Y 0.500 0.500 0.222 1
Y3 Y 0.500 0.500 0.778 1
# Crystal system: tetragonal
# Energy above the lowest structure with this stoichiometry (meV per atom): 4.8

---

[6]
# LiY3 (SCAN, PBEsol geometry)
data_LiY3
_cell_length_a 6.448
_cell_length_b 6.448
_cell_length_c 6.448
_cell_angle_alpha 146.65
_cell_angle_beta 130.39
_cell_angle_gamma 61.10
_symmetry_space_group_name_H-M 'P 1'
_symmetry_Int_Tables_number 1
loop_
_symmetry_equiv_pos_as_xyz
'x,y,z'
loop_
_atom_site_label
_atom_site_type_symbol
_atom_site_fract_x
_atom_site_fract_y
_atom_site_fract_z
_atom_site_occupancy
Li1 Li 0.000 0.000 0.000 1
Y1 Y 0.224 0.724 0.500 1
Y2 Y 0.500 0.500 0.000 1
Y3 Y 0.776 0.276 0.500 1
# Crystal system: orthorhombic
# Energy above the lowest structure with this stoichiometry (meV per atom): 0.0

---

[7]
# LiY (SCAN, PBEsol geometry)
data_LiY
_cell_length_a 3.248
_cell_length_b 3.248
_cell_length_c 5.258
_cell_angle_alpha 90.00
_cell_angle_beta 90.00
_cell_angle_gamma 110.13
_symmetry_space_group_name_H-M 'P 1'
_symmetry_Int_Tables_number 1
loop_
_symmetry_equiv_pos_as_xyz
'x,y,z'
loop_
_atom_site_label
_atom_site_type_symbol
_atom_site_fract_x
_atom_site_fract_y
_atom_site_fract_z
_atom_site_occupancy
Li1 Li 0.000 0.000 0.000 1
Y1 Y 0.500 0.500 0.500 1
# Crystal system: orthorhombic
# Energy above the lowest structure with this stoichiometry (meV per atom): 146.2

---

[8]
# Li2YZn2 (SCAN, PBEsol geometry)
data_Li2YZn2
_cell_length_a 6.861
_cell_length_b 6.861
_cell_length_c 6.861
_cell_angle_alpha 147.28
_cell_angle_beta 147.28
_cell_angle_gamma 46.96
_symmetry_space_group_name_H-M 'P 1'
_symmetry_Int_Tables_number 1
loop_
_symmetry_equiv_pos_as_xyz
'x,y,z'
loop_
_atom_site_label
_atom_site_type_symbol
_atom_site_fract_x
_atom_site_fract_y
_atom_site_fract_z
_atom_site_occupancy
Li1 Li 0.250 0.750 0.500 1
Li2 Li 0.750 0.250 0.500 1
Y1 Y 0.000 0.000 0.000 1
Zn1 Zn 0.398 0.398 0.000 1
Zn2 Zn 0.602 0.602 0.000 1
# Crystal system: tetragonal

---

[9]
# LiY2Zn2 (SCAN, PBEsol geometry)
data_LiY2Zn2
_cell_length_a 7.666
_cell_length_b 7.666
_cell_length_c 3.815
_cell_angle_alpha 90.00
_cell_angle_beta 90.00
_cell_angle_gamma 90.00
_symmetry_space_group_name_H-M 'P 1'
_symmetry_Int_Tables_number 1
loop_
_symmetry_equiv_pos_as_xyz
'x,y,z'
loop_
_atom_site_label
_atom_site_type_symbol
_atom_site_fract_x
_atom_site_fract_y
_atom_site_fract_z
_atom_site_occupancy
Li1 Li 0.000 0.000 0.000 1
Li2 Li 0.500 0.500 0.000 1
Y1 Y 0.164 0.336 0.500 1
Y2 Y 0.336 0.836 0.500 1
Y3 Y 0.664 0.164 0.500 1
Y4 Y 0.836 0.664 0.500 1
Zn1 Zn 0.131 0.631 0.000 1
Zn2 Zn 0.369 0.131 0.000 1
Zn3 Zn 0.631 0.869 0.000 1
Zn4 Zn 0.869 0.369 0.000 1
# Crystal system: tetragonal

---

[10]
# Li2YZn (SCAN, PBEsol geometry)
data_Li2YZn
_cell_length_a 4.797
_cell_length_b 4.797
_cell_length_c 4.797
_cell_angle_alpha 120.14
_cell_angle_beta 120.14
_cell_angle_gamma 89.75
_symmetry_space_group_name_H-M 'P 1'
_symmetry_Int_Tables_number 1
loop_
_symmetry_equiv_pos_as_xyz
'x,y,z'
loop_
_atom_site_label
_atom_site_type_symbol
_atom_site_fract_x
_atom_site_fract_y
_atom_site_fract_z
_atom_site_occupancy
Li1 Li 0.000 0.000 0.000 1
Li2 Li 0.750 0.250 0.500 1
Y1 Y 0.500 0.500 0.000 1
Zn1 Zn 0.250 0.750 0.500 1
# Crystal system: tetragonal

---

[11]
# LiY2Zr (SCAN, PBEsol geometry)
data_LiY2Zr
_cell_length_a 3.328
_cell_length_b 4.710
_cell_length_c 6.467
_cell_angle_alpha 90.00
_cell_angle_beta 90.00
_cell_angle_gamma 90.00
_symmetry_space_group_name_H-M 'P 1'
_symmetry_Int_Tables_number 1
loop_
_symmetry_equiv_pos_as_xyz
'x,y,z'
loop_
_atom_site_label
_atom_site_type_symbol
_atom_site_fract_x
_atom_site_fract_y
_atom_site_fract_z
_atom_site_occupancy
Li1 Li 0.000 0.000 0.000 1
Y1 Y 0.000 0.000 0.537 1
Y2 Y 0.500 0.500 0.245 1
Zr1 Zr 0.500 0.500 0.750 1
# Crystal system: orthorhombic
# Energy above the lowest structure with this stoichiometry (meV per atom): 188.0

---

[12]
# LiY2Zr (SCAN, PBEsol geometry)
data_LiY2Zr
_cell_length_a 3.389
_cell_length_b 3.389
_cell_length_c 8.967
_cell_angle_alpha 90.00
_cell_angle_beta 90.00
_cell_angle_gamma 90.00
_symmetry_space_group_name_H-M 'P 1'
_symmetry_Int_Tables_number 1
loop_
_symmetry_equiv_pos_as_xyz
'x,y,z'
loop_
_atom_site_label
_atom_site_type_symbol
_atom_site_fract_x
_atom_site_fract_y
_atom_site_fract_z
_atom_site_occupancy
Li1 Li 0.000 0.000 0.000 1
Y1 Y 0.500 0.500 0.254 1
Y2 Y 0.500 0.500 0.746 1
Zr1 Zr 0.000 0.000 0.500 1
# Crystal system: tetragonal
# Energy above the lowest structure with this stoichiometry (meV per atom): 0.0

---

Number 1: VASP energy -119.1 eV/cell, E_form 0.234 eV per atom. Number 2: VASP energy -196.3 eV/cell, E_form 0.124 eV per atom. Number 3: VASP energy -141.2 eV/cell, E_form 0.062 eV per atom. Number 4: VASP energy -60.1 eV/cell, E_form 0.095 eV per atom. Number 5: VASP energy -85.6 eV/cell, E_form 0.080 eV per atom. Number 6: VASP energy -85.6 eV/cell, E_form 0.075 eV per atom. Number 7: VASP energy -29.8 eV/cell, E_form 0.205 eV per atom. Number 8: VASP energy -60.8 eV/cell, E_form -0.236 eV per atom. Number 9: VASP energy -173.2 eV/cell, E_form -0.295 eV per atom. Number 10: VASP energy -46.5 eV/cell, E_form -0.086 eV per atom. Number 11: VASP energy -87.7 eV/cell, E_form 0.281 eV per atom. Number 12: VASP energy -88.4 eV/cell, E_form 0.093 eV per atom.